(A)
## ScNi2F (PBE+U)

Data for crystalline ScNi2F at its relaxed geometry.

```
ScNi2F
1.0
-3.815 6.031 0.064
-5.628 -3.533 -2.603
-5.368 0.819 0.712
Ni F Sc
4 2 2
Cartesian
-12.007 2.977 -1.557
-7.849 1.374 -0.548
-5.527 -0.947 -1.438
-4.239 3.231 -0.111
-4.721 1.249 -1.270
-7.859 -0.732 -1.580
-6.952 4.049 -0.247
0.000 0.000 0.000
```

Calculated values
Density: 5.56 Mg/m³
Symmetry: No. 122



(B)
## ScNi2F (PBE+U)

Data for crystalline ScNi2F at its relaxed geometry.

```
ScNi2F
1.0
0.966 -2.900 -2.860
-2.425 -3.382 -0.453
-2.368 -0.433 -3.424
F Ni Sc
1 2 1
Cartesian
0.000 0.000 0.000
-0.957 -1.679 -1.684
-2.870 -5.036 -5.052
-1.914 -3.357 -3.368
```

Calculated values
Density: 5.81 Mg/m³
Symmetry: No. 225



Most stable of them? (A).



(A)
## NiSeF2 (PBE+U)

Data for crystalline NiSeF2 at its relaxed geometry.

```
NiSeF2
1.0
-5.432 0.744 -1.237
0.753 -2.649 -4.899
-3.419 -5.248 -0.911
F Se Ni
4 2 2
Cartesian
-4.170 -5.175 -3.955
-3.080 -1.325 -1.369
-6.807 -5.078 -5.083
-2.138 -2.727 -3.689
-5.595 -2.728 -2.608
0.000 0.000 0.000
-2.339 -0.952 -3.068
-2.503 -4.425 -4.439
```

Calculated values
Density: 3.75 Mg/m³
Symmetry: No. 122



(B)
## NiSeF2 (PBE+U)

Data for crystalline NiSeF2 at its relaxed geometry.

```
NiSeF2
1.0
2.724 -1.057 2.949
-1.090 -2.696 2.963
1.639 -3.814 0.041
Ni F Se
1 2 1
Cartesian
0.000 0.000 0.000
0.818 -1.892 1.488
2.455 -5.675 4.465
1.636 -3.783 2.977
```

Calculated values
Density: 5.77 Mg/m³
Symmetry: No. 225



(C)
## NiSeF2 (PBE+U)

Data for crystalline NiSeF2 at its relaxed geometry.

```
NiSeF2
1.0
1.800 -8.364 4.001
4.402 -7.039 4.504
2.143 -6.628 6.378
Se Ni F
1 1 2
Cartesian
0.000 0.000 0.000
4.172 -11.015 7.442
1.076 -2.841 1.920
7.269 -19.189 12.964
```

Calculated values
Density: 4.13 Mg/m³
Symmetry: No. 166



Most stable of them? (C).



(A)
## NiSe2F (PBE+U)

Data for crystalline NiSe2F at its relaxed geometry.

```
NiSe2F
1.0
-3.380 3.634 -1.810
-3.689 -1.765 3.344
-1.701 4.614 4.731
Se F Ni
4 2 2
Cartesian
-7.643 5.008 5.056
-3.744 4.249 3.958
-2.986 0.325 3.136
-3.166 3.384 0.380
-4.462 1.892 4.421
-3.534 0.934 0.767
-4.307 4.591 1.844
0.000 0.000 0.000
```

Calculated values
Density: 4.91 Mg/m³
Symmetry: No. 122



(B)
## NiSe2F (PBE+U)

Data for crystalline NiSe2F at its relaxed geometry.

```
NiSe2F
1.0
0.000 3.047 3.047
3.047 0.000 3.047
3.047 3.047 0.000
Se Ni F
2 1 1
Cartesian
1.524 1.524 1.524
4.571 4.571 4.571
3.047 3.047 3.047
0.000 0.000 0.000
```

Calculated values
Density: 6.91 Mg/m³
Symmetry: No. 225



(C)
## NiSe2F (PBE+U)

Data for crystalline NiSe2F at its relaxed geometry.

```
NiSe2F
1.0
1.641 0.000 8.706
-0.821 1.421 8.706
-0.821 -1.421 8.706
Se F Ni
2 1 1
Cartesian
0.000 0.000 23.810
0.000 0.000 2.308
0.000 0.000 13.059
0.000 0.000 0.000
```

Calculated values
Density: 6.42 Mg/m³
Symmetry: No. 166



Most stable of them? (B).



(A)
## NiSe3F (PBE+U)

Data for crystalline NiSe3F at its relaxed geometry.

```
NiSe3F
1.0
-1.185 -0.718 -4.391
-4.154 -1.449 1.358
-1.593 4.311 -0.275
F Ni Se
1 1 3
Cartesian
-3.466 1.072 -1.654
0.000 0.000 0.000
-0.797 2.156 -0.138
-2.077 -0.724 0.679
-0.593 -0.359 -2.195
```

Calculated values
Density: 5.35 Mg/m³
Symmetry: No. 221



(B)
## NiSe3F (PBE+U)

Data for crystalline NiSe3F at its relaxed geometry.

```
NiSe3F
1.0
4.611 0.000 0.000
0.000 4.611 0.000
0.000 0.000 4.611
Ni Se F
1 3 1
Cartesian
2.306 2.306 2.306
0.000 2.306 0.000
0.000 0.000 2.306
2.306 0.000 0.000
0.000 0.000 0.000
```

Calculated values
Density: 5.33 Mg/m³
Symmetry: No. 221



Most stable of them? (A).



(A)
## Ni2SeF (PBE+U)

Data for crystalline Ni2SeF at its relaxed geometry.

```
Ni2SeF
1.0
5.910 0.000 0.000
0.000 5.910 0.000
2.955 2.955 3.658
Ni F Se
4 2 2
Cartesian
4.235 1.478 0.915
4.433 4.630 2.744
7.388 7.190 2.744
1.675 4.433 0.915
2.955 5.910 1.829
2.955 2.955 0.000
5.910 2.955 1.829
0.000 0.000 0.000
```

Calculated values
Density: 5.60 Mg/m³
Symmetry: No. 122



(B)
## Ni2SeF (PBE+U)

Data for crystalline Ni2SeF at its relaxed geometry.

```
Ni2SeF
1.0
-4.039 0.615 0.852
-2.100 3.045 -1.933
-2.901 -0.948 -2.847
F Ni Se
1 2 1
Cartesian
0.000 0.000 0.000
-2.260 0.678 -0.982
-6.780 2.034 -2.947
-4.520 1.356 -1.964
```

Calculated values
Density: 6.96 Mg/m³
Symmetry: No. 225



Most stable of them? (A).



(A)
## SiNi2F (PBE+U)

Data for crystalline SiNi2F at its relaxed geometry.

```
SiNi2F
1.0
-6.017 -0.123 0.738
-0.606 -2.715 -5.388
-3.101 -4.002 -1.047
Ni F Si
4 2 2
Cartesian
-2.117 -2.717 -3.511
-4.831 -4.161 -2.717
-8.099 -5.390 -4.664
-4.401 -1.413 -0.500
-3.509 -4.068 -4.379
-3.311 -1.419 -2.325
-6.215 -2.772 -1.316
0.000 0.000 0.000
```

Calculated values
Density: 5.14 Mg/m³
Symmetry: No. 122



(B)
## SiNi2F (PBE+U)

Data for crystalline SiNi2F at its relaxed geometry.

```
SiNi2F
1.0
-2.775 -0.485 2.732
-2.973 2.548 0.251
-3.618 -1.097 -1.052
Ni F Si
2 1 1
Cartesian
-2.342 0.242 0.483
-7.025 0.725 1.448
0.000 0.000 0.000
-4.683 0.483 0.965
```

Calculated values
Density: 6.39 Mg/m³
Symmetry: No. 225



Most stable of them? (A).



(A)
## Si2NiF2 (PBE+U)

Data for crystalline Si2NiF2 at its relaxed geometry.

```
Si2NiF2
1.0
3.342 0.000 0.000
0.000 3.342 0.000
1.671 1.671 6.463
Ni Si F
1 2 2
Cartesian
0.000 0.000 0.000
3.342 1.671 3.231
1.671 3.342 3.231
1.671 1.671 1.223
3.342 3.342 5.240
```

Calculated values
Density: 3.52 Mg/m³
Symmetry: No. 139



(B)
## Si2NiF2 (PBE+U)

Data for crystalline Si2NiF2 at its relaxed geometry.

```
Si2NiF2
1.0
-6.972 -1.432 0.279
0.533 -3.770 -6.020
0.472 -2.041 1.320
Si Ni F
4 2 4
Cartesian
-4.878 -3.052 -0.652
-1.395 -2.314 -0.757
-4.571 -4.929 -3.664
-1.088 -4.191 -3.768
0.000 0.000 0.000
-3.219 -2.601 -2.870
-4.203 -1.296 -0.500
-5.869 -3.577 -3.433
-0.570 -1.624 -2.308
-2.235 -3.906 -5.240
```

Calculated values
Density: 4.04 Mg/m³
Symmetry: No. 127



Most stable of them? (B).



(A)
## NiSn3F (PBE+U)

Data for crystalline NiSn3F at its relaxed geometry.

```
NiSn3F
1.0
-0.939 -3.280 -3.410
-1.325 -3.155 3.399
-4.542 1.598 -0.287
Sn Ni F
3 1 1
Cartesian
-0.469 -1.640 -1.705
-2.271 0.799 -0.143
-0.662 -1.577 1.700
-3.403 -2.418 -0.149
0.000 0.000 0.000
```

Calculated values
Density: 6.42 Mg/m³
Symmetry: No. 221



(B)
## NiSn3F (PBE+U)

Data for crystalline NiSn3F at its relaxed geometry.

```
NiSn3F
1.0
-4.634 0.513 1.473
-1.520 -2.528 -3.899
0.353 -4.153 2.555
Ni Sn F
1 3 1
Cartesian
0.000 0.000 0.000
-0.760 -1.264 -1.950
0.176 -2.077 1.278
-2.317 0.256 0.737
-2.900 -3.084 0.065
```

Calculated values
Density: 6.16 Mg/m³
Symmetry: No. 221



Most stable of them? (B).



(A)
## SrNi2F (PBE+U)

Data for crystalline SrNi2F at its relaxed geometry.

```
SrNi2F
1.0
0.000 3.160 3.160
3.160 0.000 3.160
3.160 3.160 0.000
F Ni Sr
1 2 1
Cartesian
0.000 0.000 0.000
1.580 1.580 1.580
4.740 4.740 4.740
3.160 3.160 3.160
```

Calculated values
Density: 5.90 Mg/m³
Symmetry: No. 225



(B)
## SrNi2F (PBE+U)

Data for crystalline SrNi2F at its relaxed geometry.

```
SrNi2F
1.0
-3.504 2.806 0.135
-2.777 -3.493 0.512
-2.330 0.259 8.839
F Sr Ni
2 2 4
Cartesian
-4.124 -1.789 4.837
-3.141 -0.343 0.323
0.000 0.000 0.000
-4.488 1.361 4.649
-3.632 -1.066 2.580
-4.797 -0.936 6.999
-2.244 0.681 2.324
-6.550 0.466 7.067
```

Calculated values
Density: 4.30 Mg/m³
Symmetry: No. 141



Most stable of them? (B).



(A)
## TaNiF2 (PBE+U)

Data for crystalline TaNiF2 at its relaxed geometry.

```
TaNiF2
1.0
-3.175 -1.799 1.650
-3.553 0.120 -1.845
-1.508 -3.319 -1.659
Ni F Ta
1 2 1
Cartesian
0.000 0.000 0.000
-2.059 -1.249 -0.464
-6.177 -3.748 -1.391
-4.118 -2.499 -0.927
```

Calculated values
Density: 10.15 Mg/m³
Symmetry: No. 225



(B)
## TaNiF2 (PBE+U)

Data for crystalline TaNiF2 at its relaxed geometry.

```
TaNiF2
1.0
2.472 -2.335 8.233
2.718 -4.809 6.988
4.811 -2.983 6.877
Ta F Ni
1 2 1
Cartesian
5.000 -5.063 11.049
1.073 -1.087 2.371
8.928 -9.040 19.727
0.000 0.000 0.000
```

Calculated values
Density: 7.86 Mg/m³
Symmetry: No. 166



Most stable of them? (B).



(A)
## TaNi3F (PBE+U)

Data for crystalline TaNi3F at its relaxed geometry.

```
TaNi3F
1.0
4.090 0.000 0.000
0.000 4.090 0.000
0.000 0.000 4.090
F Ni Ta
1 3 1
Cartesian
0.000 0.000 0.000
0.000 0.000 2.045
2.045 0.000 0.000
0.000 2.045 0.000
2.045 2.045 2.045
```

Calculated values
Density: 9.13 Mg/m³
Symmetry: No. 221



(B)
## TaNi3F (PBE+U)

Data for crystalline TaNi3F at its relaxed geometry.

```
TaNi3F
1.0
-2.572 3.634 -0.677
-3.554 -2.204 1.671
1.018 1.489 4.126
F Ni Ta
1 3 1
Cartesian
-2.554 1.460 2.560
-1.286 1.817 -0.339
-1.777 -1.102 0.836
0.509 0.744 2.063
0.000 0.000 0.000
```

Calculated values
Density: 6.84 Mg/m³
Symmetry: No. 221



Most stable of them? (A).



(A)
## Ta2NiF2 (PBE+U)

Data for crystalline Ta2NiF2 at its relaxed geometry.

```
Ta2NiF2
1.0
-2.380 -1.328 1.670
-1.517 -0.705 -2.723
0.934 -6.438 -0.729
F Ta Ni
2 2 1
Cartesian
-1.697 -4.391 0.207
-1.266 -4.080 -1.989
-1.287 -2.261 -0.573
-1.677 -6.209 -1.209
0.000 0.000 0.000
```

Calculated values
Density: 12.13 Mg/m³
Symmetry: No. 139



(B)
## Ta2NiF2 (PBE+U)

Data for crystalline Ta2NiF2 at its relaxed geometry.

```
Ta2NiF2
1.0
-5.166 -1.140 4.983
-0.150 -7.048 -1.768
1.904 -0.507 1.858
F Ni Ta
4 2 4
Cartesian
-2.316 -7.241 2.372
-3.723 -4.044 4.685
0.310 -4.650 0.388
-1.096 -1.453 2.701
0.000 0.000 0.000
-2.658 -4.094 1.608
-1.504 -5.725 -0.019
-1.235 -2.158 0.677
-4.082 -6.029 2.539
-3.812 -2.462 3.235
```

Calculated values
Density: 10.65 Mg/m³
Symmetry: No. 127



Most stable of them? (A).



(A)
## TcNi3F (PBE+U)

Data for crystalline TcNi3F at its relaxed geometry.

```
TcNi3F
1.0
4.663 0.000 0.000
0.000 4.663 0.000
0.000 0.000 4.663
F Ni Tc
1 3 1
Cartesian
2.331 2.331 2.331
0.000 0.000 2.331
0.000 2.331 0.000
2.331 0.000 0.000
0.000 0.000 0.000
```

Calculated values
Density: 4.80 Mg/m³
Symmetry: No. 221



(B)
## TcNi3F (PBE+U)

Data for crystalline TcNi3F at its relaxed geometry.

```
TcNi3F
1.0
-2.203 -2.708 -2.088
-1.131 -1.768 3.485
-3.227 2.468 0.205
Tc Ni F
1 3 1
Cartesian
-3.281 -1.004 0.801
-1.614 1.234 0.102
-0.565 -0.884 1.743
-1.101 -1.354 -1.044
0.000 0.000 0.000
```

Calculated values
Density: 7.23 Mg/m³
Symmetry: No. 221



Most stable of them? (B).